DFT (GGA-PBE) results for an optimized crystal structure of KW2I.

Output
E above lowest polymorph in eV per atom: 0.000
Raw formation energy in eV per atom: 1.56
Symmetry: I-42d
Crystal system: tetragonal

```
KW2I
1.0
-2.098 2.098 11.573
2.098 -2.098 11.573
2.098 2.098 -11.573
K W I
2 4 2
Cartesian
0.000 0.000 0.000
0.000 2.098 5.786
1.049 1.383 -2.893
2.812 1.049 2.893
1.049 0.714 8.680
-0.714 1.049 14.466
2.098 0.000 5.786
0.000 0.000 11.573
```